(1)
Crystalline RbCaHf3 at its relaxed geometry. Source: Alexandria via LeMat-Bulk, functional PBE.

Cell: 5.472 5.472 5.472 Å, 90.00 90.00 90.00°
Space group Pm-3m (No. 221)
Asymmetric unit:
1 Rb 0.000 0.000 0.000 (multiplicity 1)
2 Ca 0.500 0.500 0.500 (multiplicity 1)
3 Hf 0.000 0.500 0.500 (multiplicity 3)

## Properties
Energy above the most stable polymorph in this dataset in eV per atom: 0.000
Magnetic moment in μB per cell: 1.1
Total DFT energy (no corrections) in eV per atom: -4.65
DOS(E_F) in states/eV per cell: 9.000
ρ in g/cm³: 6.700
Energy of formation from the pure elements in meV per atom: 1914.2


(2)
Crystalline RbCaHf3 at its relaxed geometry. Source: Alexandria via LeMat-Bulk, functional PBE.

Cell: 5.208 5.208 5.208 Å, 90.00 90.00 90.00°
Space group Pm-3m (No. 221)
Asymmetric unit:
1 Rb 0.000 0.000 0.000 (multiplicity 1)
2 Ca 0.500 0.500 0.500 (multiplicity 1)
3 Hf 0.000 0.000 0.500 (multiplicity 3)

## Properties
Energy above the most stable polymorph in this dataset in eV per atom: 0.097
Magnetic moment in μB per cell: 1.7
Total DFT energy (no corrections) in eV per atom: -4.55
DOS(E_F) in states/eV per cell: 10.343
ρ in g/cm³: 7.769
Energy of formation from the pure elements in meV per atom: 2010.9


(3)
Crystalline Rb2CaHfTe4 at its relaxed geometry. Source: Alexandria via LeMat-Bulk, functional PBE.

Cell: 7.839 4.420 8.846 Å, 90.00 106.25 90.00°
Space group P2/m (No. 10)
Asymmetric unit:
1 Rb 0.000 0.000 0.000 (multiplicity 1)
2 Rb 0.500 0.500 0.000 (multiplicity 1)
3 Ca 0.000 0.500 0.500 (multiplicity 1)
4 Hf 0.500 0.000 0.500 (multiplicity 1)
5 Te 0.258 0.000 0.696 (multiplicity 2)
6 Te 0.290 0.500 0.309 (multiplicity 2)

## Properties
Magnetic moment in μB per cell: 0.0
Total DFT energy (no corrections) in eV per atom: -4.44
ρ in g/cm³: 5.078


(4)
Crystalline CaHf3Re at its relaxed geometry. Source: Alexandria via LeMat-Bulk, functional PBE.

Cell: 5.131 5.131 5.131 Å, 90.00 90.00 90.00°
Space group Pm-3m (No. 221)
Asymmetric unit:
1 Ca 0.000 0.000 0.000 (multiplicity 1)
2 Hf 0.000 0.500 0.500 (multiplicity 3)
3 Re 0.500 0.500 0.500 (multiplicity 1)

## Properties
Energy above the most stable polymorph in this dataset in eV per atom: 0.000
Magnetic moment in μB per cell: 0.0
Total DFT energy (no corrections) in eV per atom: -8.44
DOS(E_F) in states/eV per cell: 9.024
ρ in g/cm³: 9.366
Energy of formation from the pure elements in meV per atom: 424.8


(5)
Crystalline CaHf2Re at its relaxed geometry. Source: Alexandria via LeMat-Bulk, functional PBE.

Cell: 5.526 5.526 17.218 Å, 90.00 90.00 90.00°
Space group I4_1/amd (No. 141, origin choice 2)
Asymmetric unit:
1 Ca 0.000 0.250 0.375 (multiplicity 4)
2 Hf 0.000 0.000 0.000 (multiplicity 8)
3 Re 0.000 0.250 0.875 (multiplicity 4)

## Properties
Energy above the most stable polymorph in this dataset in eV per atom: 1.007
Magnetic moment in μB per cell: 0.0
Total DFT energy (no corrections) in eV per atom: -7.35
DOS(E_F) in states/eV per cell: 15.470
ρ in g/cm³: 7.369
Energy of formation from the pure elements in meV per atom: 1236.6


(6)
Crystalline CaHfRe2 at its relaxed geometry. Source: Alexandria via LeMat-Bulk, functional PBE.

Cell: 7.640 7.640 5.553 Å, 90.00 90.00 90.00°
Space group I-42d (No. 122)
Asymmetric unit:
1 Ca 0.000 0.000 0.000 (multiplicity 4)
2 Hf 0.000 0.000 0.500 (multiplicity 4)
3 Re 0.230 0.750 0.625 (multiplicity 8)

## Properties
Energy above the most stable polymorph in this dataset in eV per atom: 0.492
Magnetic moment in μB per cell: 0.0
Total DFT energy (no corrections) in eV per atom: -8.11
DOS(E_F) in states/eV per cell: 17.894
ρ in g/cm³: 12.112
Energy of formation from the pure elements in meV per atom: 1100.6


(7)
Crystalline CaHfRe3 at its relaxed geometry. Source: Alexandria via LeMat-Bulk, functional PBE.

Cell: 4.886 4.886 4.886 Å, 90.00 90.00 90.00°
Space group Pm-3m (No. 221)
Asymmetric unit:
1 Ca 0.000 0.000 0.000 (multiplicity 1)
2 Hf 0.500 0.500 0.500 (multiplicity 1)
3 Re 0.000 0.500 0.500 (multiplicity 3)

## Properties
Energy above the most stable polymorph in this dataset in eV per atom: 0.000
Magnetic moment in μB per cell: 2.9
Total DFT energy (no corrections) in eV per atom: -7.94
DOS(E_F) in states/eV per cell: 5.356
ρ in g/cm³: 11.067
Energy of formation from the pure elements in meV per atom: 1918.3


(8)
Crystalline CaHf2Re2 at its relaxed geometry. Source: Alexandria via LeMat-Bulk, functional PBE.

Cell: 8.037 8.037 3.157 Å, 90.00 90.00 90.00°
Space group P4/mbm (No. 127)
Asymmetric unit:
1 Ca 0.000 0.000 0.000 (multiplicity 2)
2 Hf 0.143 0.357 0.500 (multiplicity 4)
3 Re 0.147 0.647 0.000 (multiplicity 4)

## Properties
Magnetic moment in μB per cell: 0.0
Total DFT energy (no corrections) in eV per atom: -9.21
DOS(E_F) in states/eV per cell: 9.933
ρ in g/cm³: 12.530
Energy of formation from the pure elements in meV per atom: 146.4


(9)
Crystalline CaHf3Re at its relaxed geometry. Source: Alexandria via LeMat-Bulk, functional PBE.

Cell: 4.776 4.776 4.776 Å, 90.00 90.00 90.00°
Space group Pm-3m (No. 221)
Asymmetric unit:
1 Ca 0.000 0.000 0.000 (multiplicity 1)
2 Hf 0.000 0.000 0.500 (multiplicity 3)
3 Re 0.500 0.500 0.500 (multiplicity 1)

## Properties
Energy above the most stable polymorph in this dataset in eV per atom: 1.832
Magnetic moment in μB per cell: 0.3
Total DFT energy (no corrections) in eV per atom: -6.60
DOS(E_F) in states/eV per cell: 5.893
ρ in g/cm³: 11.608
Energy of formation from the pure elements in meV per atom: 2257.2


(10)
Crystalline CaHfRe2 at its relaxed geometry. Source: Alexandria via LeMat-Bulk, functional PBE.

Cell: 6.676 6.676 6.676 Å, 90.00 90.00 90.00°
Space group Fm-3m (No. 225)
Asymmetric unit:
1 Ca 0.000 0.000 0.000 (multiplicity 4)
2 Hf 0.000 0.000 0.500 (multiplicity 4)
3 Re 0.250 0.250 0.250 (multiplicity 8)

## Properties
Energy above the most stable polymorph in this dataset in eV per atom: 0.000
Magnetic moment in μB per cell: 0.0
Total DFT energy (no corrections) in eV per atom: -8.60
DOS(E_F) in states/eV per cell: 18.926
ρ in g/cm³: 13.190
Energy of formation from the pure elements in meV per atom: 608.6


(11)
Crystalline CaHf2Re at its relaxed geometry. Source: Alexandria via LeMat-Bulk, functional PBE.

Cell: 6.901 6.901 6.901 Å, 90.00 90.00 90.00°
Space group Fm-3m (No. 225)
Asymmetric unit:
1 Ca 0.000 0.000 0.000 (multiplicity 4)
2 Hf 0.250 0.250 0.250 (multiplicity 8)
3 Re 0.000 0.000 0.500 (multiplicity 4)

## Properties
Energy above the most stable polymorph in this dataset in eV per atom: 0.000
Magnetic moment in μB per cell: 0.0
Total DFT energy (no corrections) in eV per atom: -8.36
DOS(E_F) in states/eV per cell: 12.131
ρ in g/cm³: 11.787
Energy of formation from the pure elements in meV per atom: 229.5


(12)
Crystalline Ca2HfScRe at its relaxed geometry. Source: Alexandria via LeMat-Bulk, functional PBE.

Cell: 5.711 5.711 4.757 Å, 90.00 90.00 90.00°
Space group P4/mmm (No. 123)
Asymmetric unit:
1 Ca 0.000 0.500 0.000 (multiplicity 2)
2 Hf 0.000 0.000 0.000 (multiplicity 1)
3 Sc 0.500 0.500 0.500 (multiplicity 1)
4 Re 0.000 0.000 0.500 (multiplicity 1)

## Properties
Magnetic moment in μB per cell: 0.0
Total DFT energy (no corrections) in eV per atom: -5.30
DOS(E_F) in states/eV per cell: 8.823
ρ in g/cm³: 5.242
Energy of formation from the pure elements in meV per atom: 1243.6


(13)
Crystalline CaHfRe2Si at its relaxed geometry. Source: Alexandria via LeMat-Bulk, functional PBE.

Cell: 4.916 4.916 5.028 Å, 90.00 90.00 90.00°
Space group P4/mmm (No. 123)
Asymmetric unit:
1 Ca 0.000 0.000 0.000 (multiplicity 1)
2 Hf 0.500 0.500 0.500 (multiplicity 1)
3 Re 0.000 0.500 0.500 (multiplicity 2)
4 Si 0.500 0.500 0.000 (multiplicity 1)

## Properties
Magnetic moment in μB per cell: 2.0
Total DFT energy (no corrections) in eV per atom: -6.99
DOS(E_F) in states/eV per cell: 6.958
ρ in g/cm³: 8.460


(14)
Crystalline Ca2HfReTc at its relaxed geometry. Source: Alexandria via LeMat-Bulk, functional PBE.

Cell: 5.723 5.723 4.565 Å, 90.00 90.00 90.00°
Space group P4/mmm (No. 123)
Asymmetric unit:
1 Ca 0.000 0.500 0.000 (multiplicity 2)
2 Hf 0.000 0.000 0.000 (multiplicity 1)
3 Re 0.500 0.500 0.500 (multiplicity 1)
4 Tc 0.000 0.000 0.500 (multiplicity 1)

## Properties
Magnetic moment in μB per cell: 3.3
Total DFT energy (no corrections) in eV per atom: -5.39
DOS(E_F) in states/eV per cell: 3.982
ρ in g/cm³: 6.028
Energy of formation from the pure elements in meV per atom: 1963.2


(15)
Crystalline CaHf2Rh3 at its relaxed geometry. Source: Alexandria via LeMat-Bulk, functional PBE.

Cell: 3.263 3.263 10.522 Å, 90.00 90.00 90.00°
Space group P4/mmm (No. 123)
Asymmetric unit:
1 Ca 0.000 0.000 0.000 (multiplicity 1)
2 Hf 0.000 0.000 0.339 (multiplicity 2)
3 Rh 0.500 0.500 0.204 (multiplicity 2)
4 Rh 0.500 0.500 0.500 (multiplicity 1)

## Properties
Magnetic moment in μB per cell: 0.0
Total DFT energy (no corrections) in eV per atom: -8.15
DOS(E_F) in states/eV per cell: 5.027
ρ in g/cm³: 10.463
Energy of formation from the pure elements in meV per atom: -819.2


(16)
Crystalline CaHfRh3 at its relaxed geometry. Source: Alexandria via LeMat-Bulk, functional PBE.

Cell: 4.827 4.827 4.827 Å, 90.00 90.00 90.00°
Space group Pm-3m (No. 221)
Asymmetric unit:
1 Ca 0.000 0.000 0.000 (multiplicity 1)
2 Hf 0.500 0.500 0.500 (multiplicity 1)
3 Rh 0.000 0.500 0.500 (multiplicity 3)

## Properties
Energy above the most stable polymorph in this dataset in eV per atom: 0.000
Magnetic moment in μB per cell: 0.0
Total DFT energy (no corrections) in eV per atom: -6.71
DOS(E_F) in states/eV per cell: 4.201
ρ in g/cm³: 7.787
Energy of formation from the pure elements in meV per atom: 92.1


(17)
Crystalline Ca3HfRh4 at its relaxed geometry. Source: Alexandria via LeMat-Bulk, functional PBE.

Cell: 3.342 3.342 13.833 Å, 90.00 90.00 90.00°
Space group P4/mmm (No. 123)
Asymmetric unit:
1 Ca 0.000 0.000 0.000 (multiplicity 1)
2 Ca 0.000 0.000 0.250 (multiplicity 2)
3 Hf 0.000 0.000 0.500 (multiplicity 1)
4 Rh 0.500 0.500 0.128 (multiplicity 2)
5 Rh 0.500 0.500 0.394 (multiplicity 2)

## Properties
Magnetic moment in μB per cell: 0.0
Total DFT energy (no corrections) in eV per atom: -6.19
DOS(E_F) in states/eV per cell: 3.668
ρ in g/cm³: 7.635
Energy of formation from the pure elements in meV per atom: -522.4


(18)
Crystalline CaHf2Rh2 at its relaxed geometry. Source: Alexandria via LeMat-Bulk, functional PBE.

Cell: 8.044 8.044 3.046 Å, 90.00 90.00 90.00°
Space group P4/mbm (No. 127)
Asymmetric unit:
1 Ca 0.000 0.000 0.000 (multiplicity 2)
2 Hf 0.142 0.358 0.000 (multiplicity 4)
3 Rh 0.151 0.651 0.500 (multiplicity 4)

## Properties
Energy above the most stable polymorph in this dataset in eV per atom: 0.097
Magnetic moment in μB per cell: 0.0
Total DFT energy (no corrections) in eV per atom: -7.86
DOS(E_F) in states/eV per cell: 6.338
ρ in g/cm³: 10.159
Energy of formation from the pure elements in meV per atom: -535.3


(19)
Crystalline CaHfRh4 at its relaxed geometry. Source: Alexandria via LeMat-Bulk, functional PBE.

Cell: 7.434 7.434 7.434 Å, 90.00 90.00 90.00°
Space group F-43m (No. 216)
Asymmetric unit:
1 Ca 0.000 0.000 0.000 (multiplicity 4)
2 Hf 0.250 0.250 0.750 (multiplicity 4)
3 Rh 0.125 0.125 0.375 (multiplicity 16)

## Properties
Magnetic moment in μB per cell: 0.0
Total DFT energy (no corrections) in eV per atom: -7.39
DOS(E_F) in states/eV per cell: 15.150
ρ in g/cm³: 10.190
Energy of formation from the pure elements in meV per atom: -491.9


(20)
Crystalline CaHf2Rh at its relaxed geometry. Source: Alexandria via LeMat-Bulk, functional PBE.

Cell: 8.005 8.005 5.989 Å, 90.00 90.00 90.00°
Space group I-42d (No. 122)
Asymmetric unit:
1 Ca 0.000 0.000 0.000 (multiplicity 4)
2 Hf 0.181 0.250 0.625 (multiplicity 8)
3 Rh 0.000 0.000 0.500 (multiplicity 4)

## Properties
Energy above the most stable polymorph in this dataset in eV per atom: 0.000
Magnetic moment in μB per cell: 0.0
Total DFT energy (no corrections) in eV per atom: -7.30
DOS(E_F) in states/eV per cell: 13.747
ρ in g/cm³: 8.652
Energy of formation from the pure elements in meV per atom: 17.8